# K2ZrMo

Crystalline K2ZrMo at its relaxed geometry (PBE-GGA, Alexandria).

```
4
Lattice="-1.642 -1.515 1.828 1.938 -2.139 -0.032 6.194 5.457 10.088" Properties=species:S:1:pos:R:3 pbc="T T T"
K 0.141 0.124 0.230
K 2.956 2.605 4.814
Mo 1.696 -0.463 3.420
Zr 4.793 2.266 8.464
```

Output
energy relative to the lowest polymorph listed for this composition	62.5	kJ/mol of atoms
energy of formation	1.346	eV/atom
size of the total moment	0.61	Bohr magnetons per cell
E_tot	-16.19	eV per cell